(1)
Here is crystalline CaTmH4 at its relaxed geometry from Alexandria via LeMat-Bulk. Energies are from PBE.

The density of states at the Fermi level comes out at 1.8 states/eV per cell. As for the symmetry: P4/mmm, No. 123. The value obtained for the calculated total energy is -3.927 eV/atom.

Lattice parameters (Å, degrees): 3.6616 3.6616 5.2762 90.00 90.00 90.00
Closest atoms and distances in Å follow each position.
Fractional positions:
Ca1 0.0000 0.0000 0.0000  8 H 2.30
Tm1 0.5000 0.5000 0.5000  8 H 2.21
H1 0.0000 0.5000 0.2653  2 Tm 2.21, 2 Ca 2.30
H2 0.0000 0.5000 0.7347  2 Tm 2.21, 2 Ca 2.30
H3 0.5000 0.0000 0.2653  2 Tm 2.21, 2 Ca 2.30
H4 0.5000 0.0000 0.7347  2 Tm 2.21, 2 Ca 2.30

---

(2)
Here is crystalline SmDyPd at its relaxed geometry from Alexandria via LeMat-Bulk. Energies are from PBE.

As for the energy of formation: -1.55 eV/f.u. The density of states at the Fermi level comes out at 12.8 states/eV per cell. For the energy above the lowest structure with this stoichiometry, the calculation gives 68.5 meV per atom. As for the symmetry: C2/m, No. 12. The value obtained for the calculated total energy is -5.354 eV/atom.

Lattice parameters (Å, degrees): 12.7984 3.5868 7.2019 90.00 106.47 90.00
Closest atoms and distances in Å follow each position.
Fractional positions:
Sm1 0.1377 0.0000 0.0680  4 Pd 3.12-3.15, 1 Sm 3.38
Sm2 0.3623 0.5000 0.9320  4 Pd 3.12-3.15, 1 Sm 3.38
Sm3 0.6377 0.5000 0.0680  4 Pd 3.12-3.15, 1 Sm 3.38
Sm4 0.8623 0.0000 0.9320  4 Pd 3.12-3.15, 1 Sm 3.38
Dy1 0.1377 0.0000 0.5692  4 Pd 2.97-2.99
Dy2 0.3623 0.5000 0.4308  4 Pd 2.97-2.99
Dy3 0.6377 0.5000 0.5692  4 Pd 2.97-2.99
Dy4 0.8623 0.0000 0.4308  4 Pd 2.97-2.99
Pd1 0.0013 0.5000 0.7326  4 Dy 2.97-2.99, 4 Sm 3.12-3.15
Pd2 0.4987 0.0000 0.2674  4 Dy 2.97-2.99, 4 Sm 3.12-3.15
Pd3 0.5013 0.0000 0.7326  4 Dy 2.97-2.99, 4 Sm 3.12-3.15
Pd4 0.9987 0.5000 0.2674  4 Dy 2.97-2.99, 4 Sm 3.12-3.15

---

(3)
Here is crystalline HfGaTc at its relaxed geometry from Alexandria via LeMat-Bulk. Energies are from PBE.

As for the energy of formation: 0.12 eV/f.u. The density of states at the Fermi level comes out at 6.9 states/eV per cell. For the energy above the lowest structure with this stoichiometry, the calculation gives 500.6 meV per atom. As for the symmetry: P2_13, No. 198. The value obtained for the calculated total energy is -7.743 eV/atom.

Lattice parameters (Å, degrees): 6.1888 6.1888 6.1888 90.00 90.00 90.00
Closest atoms and distances in Å follow each position.
Fractional positions:
Hf1 0.0236 0.0236 0.0236  4 Tc 2.60-2.73, 3 Ga 2.91
Hf2 0.4764 0.9764 0.5236  4 Tc 2.60-2.73, 3 Ga 2.91
Hf3 0.5236 0.4764 0.9764  4 Tc 2.60-2.73, 3 Ga 2.91
Hf4 0.9764 0.5236 0.4764  4 Tc 2.60-2.73, 3 Ga 2.91
Ga1 0.0067 0.9933 0.4933  4 Tc 2.57-2.72
Ga2 0.4933 0.0067 0.9933  4 Tc 2.57-2.72
Ga3 0.5067 0.5067 0.5067  4 Tc 2.57-2.72
Ga4 0.9933 0.4933 0.0067  4 Tc 2.57-2.72
Tc1 0.2334 0.7334 0.7666  4 Ga 2.57-2.72, 4 Hf 2.60-2.73
Tc2 0.2666 0.2666 0.2666  4 Ga 2.57-2.72, 4 Hf 2.60-2.73
Tc3 0.7334 0.7666 0.2334  4 Ga 2.57-2.72, 4 Hf 2.60-2.73
Tc4 0.7666 0.2334 0.7334  4 Ga 2.57-2.72, 4 Hf 2.60-2.73

---

(4)
Here is crystalline Cr2CoMo at its relaxed geometry from Alexandria via LeMat-Bulk. Energies are from PBE.

As for the energy of formation: 0.63 eV/f.u. The density of states at the Fermi level comes out at 17.0 states/eV per cell. As for the symmetry: F-43m, No. 216. The value obtained for the calculated total energy is -9.138 eV/atom.

Lattice parameters (Å, degrees): 5.8908 5.8908 5.8908 90.00 90.00 90.00
Closest atoms and distances in Å follow each position.
Fractional positions:
Cr1 0.0000 0.0000 0.0000  4 Co 2.55, 4 Cr 2.55
Cr2 0.0000 0.5000 0.5000  4 Cr 2.55, 4 Co 2.55
Cr3 0.2500 0.2500 0.2500  4 Cr 2.55, 4 Mo 2.55
Cr4 0.2500 0.7500 0.7500  4 Cr 2.55, 4 Mo 2.55
Cr5 0.5000 0.0000 0.5000  4 Cr 2.55, 4 Co 2.55
Cr6 0.5000 0.5000 0.0000  4 Co 2.55, 4 Cr 2.55
Cr7 0.7500 0.2500 0.7500  4 Cr 2.55, 4 Mo 2.55
Cr8 0.7500 0.7500 0.2500  4 Cr 2.55, 4 Mo 2.55
Co1 0.2500 0.2500 0.7500  4 Cr 2.55, 4 Mo 2.55
Co2 0.2500 0.7500 0.2500  4 Cr 2.55, 4 Mo 2.55
Co3 0.7500 0.2500 0.2500  4 Cr 2.55, 4 Mo 2.55
Co4 0.7500 0.7500 0.7500  4 Cr 2.55, 4 Mo 2.55
Mo1 0.0000 0.0000 0.5000  4 Cr 2.55, 4 Co 2.55
Mo2 0.0000 0.5000 0.0000  4 Cr 2.55, 4 Co 2.55
Mo3 0.5000 0.0000 0.0000  4 Cr 2.55, 4 Co 2.55
Mo4 0.5000 0.5000 0.5000  4 Cr 2.55, 4 Co 2.55

---

(5)
Here is crystalline LiMnSi at its relaxed geometry from Alexandria via LeMat-Bulk. Energies are from PBE.

For the energy relative to the elements, uncorrected, the calculation gives -147.9 meV per atom. The density of states at the Fermi level comes out at 8.5 states/eV per cell. As for the symmetry: C2/m, No. 12. The value obtained for the calculated total energy is -5.650 eV/atom.

Lattice parameters (Å, degrees): 6.7997 3.9306 5.2452 90.00 91.83 90.00
Closest atoms and distances in Å follow each position.
Fractional positions:
Li1 0.1648 0.0000 0.4374  3 Li 2.36, 3 Si 2.48-2.52, 1 Mn 2.59
Li2 0.3352 0.5000 0.5626  3 Li 2.36, 3 Si 2.48-2.52, 1 Mn 2.59
Li3 0.6648 0.5000 0.4374  3 Li 2.36, 3 Si 2.48-2.52, 1 Mn 2.59
Li4 0.8352 0.0000 0.5626  3 Li 2.36, 3 Si 2.48-2.52, 1 Mn 2.59
Mn1 0.1785 0.0000 0.9448  3 Mn 2.26-2.51, 3 Si 2.43-2.48
Mn2 0.3215 0.5000 0.0552  3 Mn 2.26-2.51, 3 Si 2.43-2.48
Mn3 0.6785 0.5000 0.9448  3 Mn 2.26-2.51, 3 Si 2.43-2.48
Mn4 0.8215 0.0000 0.0552  3 Mn 2.26-2.51, 3 Si 2.43-2.48
Si1 0.0024 0.5000 0.7617  4 Mn 2.43-2.62, 3 Li 2.48-2.52, 1 Si 2.50
Si2 0.4976 0.0000 0.2383  4 Mn 2.43-2.62, 3 Li 2.48-2.52, 1 Si 2.50
Si3 0.5024 0.0000 0.7617  4 Mn 2.43-2.62, 3 Li 2.48-2.52, 1 Si 2.50
Si4 0.9976 0.5000 0.2383  4 Mn 2.43-2.62, 3 Li 2.48-2.52, 1 Si 2.50

---

(6)
Here is crystalline HfScW3 at its relaxed geometry from Alexandria via LeMat-Bulk. Energies are from PBE.

As for the energy of formation: 10.06 eV/f.u. The density of states at the Fermi level comes out at 9.2 states/eV per cell. For the energy above the lowest structure with this stoichiometry, the calculation gives 0.0 meV per atom. As for the symmetry: Pm-3m, No. 221. The value obtained for the calculated total energy is -9.016 eV/atom.

Lattice parameters (Å, degrees): 4.6369 4.6369 4.6369 90.00 90.00 90.00
Closest atoms and distances in Å follow each position.
Fractional positions:
Hf1 0.0000 0.0000 0.0000  12 W 3.28
Sc1 0.5000 0.5000 0.5000  6 W 2.32
W1 0.0000 0.5000 0.5000  2 Sc 2.32
W2 0.5000 0.0000 0.5000  2 Sc 2.32
W3 0.5000 0.5000 0.0000  2 Sc 2.32